Entry 1:
Material: Nd6IrPt2I3
Method: DFT, GGA-PBE
State: optimized geometry

Cell lengths 7.381, 7.381, 8.470 Å; angles 98.36, 98.36, 120.00 degrees
Element x y z (fractional)
I  0.167  0.833  0.500
Pt  0.333  0.667  0.000
Nd  0.062  0.388  0.186
Nd  0.612  0.938  0.814
Pt  0.667  0.333  0.000
Nd  0.938  0.612  0.814
Nd  0.388  0.062  0.186
I  0.833  0.167  0.500
I  0.500  0.500  0.500
Nd  0.736  0.736  0.186
Ir  0.000  0.000  0.000
Nd  0.264  0.264  0.814

Computed properties:
Space group ... C2/m
Energy ... -5.59 eV per atom
Calculated volume ... 382.3 Å³ per cell

Entry 2:
Material: Pm8Ge3Se4
Method: DFT, GGA-PBE
State: optimized geometry

Cell lengths 8.388, 8.421, 8.421 Å; angles 90.00, 119.98, 119.98 degrees
Element x y z (fractional)
Pm  0.010  0.255  0.255
Ge  0.500  0.500  0.500
Pm  0.500  0.252  0.748
Se  0.500  0.000  0.000
Pm  0.000  0.250  0.750
Se  0.000  0.000  0.000
Ge  0.500  0.500  0.000
Pm  0.505  0.254  0.254
Pm  0.495  0.746  0.746
Pm  0.990  0.745  0.745
Se  0.000  0.500  0.000
Pm  0.500  0.748  0.252
Ge  0.500  0.000  0.500
Se  0.000  0.000  0.500
Pm  0.000  0.750  0.250

Computed properties:
Space group ... C2/m
Energy ... -5.75 eV per atom
Calculated volume ... 420.9 Å³ per cell